A plane-wave DFT calculation with GGA-PBE was carried out for an optimized crystal structure of RbLiPu2S4.

Lattice parameters (Å, degrees): 4.0985 7.1342 14.0276 90.00 90.00 106.69
With the nearest neighbours (Å) after each atom.
Sites, in units of the cell vectors:
S1 0.2580 0.5160 0.1045  1 Li 2.38
Li1 0.1685 0.3370 0.2500  4 S 2.36-2.38
Rb1 0.8939 0.7879 0.2500  6 S 3.29-3.44
S2 0.7420 0.4840 0.8955  1 Li 2.38
Pu1 0.3673 0.7346 0.9414  6 S 2.73-2.86
Pu2 0.3673 0.7346 0.5586  6 S 2.73-2.86
S3 0.5822 0.1644 0.2500  2 Li 2.36
Rb2 0.1061 0.2121 0.7500  6 S 3.29-3.44
S4 0.0000 0.0000 0.5000  4 Pu 2.86
S5 0.0000 0.0000 0.0000  4 Pu 2.86
Pu3 0.6327 0.2654 0.4414  6 S 2.73-2.86
Li2 0.8315 0.6630 0.7500  4 S 2.36-2.38
S6 0.7420 0.4840 0.6045  1 Li 2.38
S7 0.2580 0.5160 0.3955  1 Li 2.38
Pu4 0.6327 0.2654 0.0586  6 S 2.73-2.86
S8 0.4178 0.8356 0.7500  2 Li 2.36

Properties
Calculated volume: 393 Å³/cell
Crystal system: orthorhombic
Magnetization: 10.00 μB/f.u.
Density: 5.991 Mg/m³
E_tot: -7.5851 eV/atom
DOS at the Fermi energy: 2.20 states/eV per atom
Formation energy (no corrections): -1.58 eV/atom
Space-group type: Cmcm (63)

***

A plane-wave DFT calculation with GGA-PBE was carried out for an optimized crystal structure of Rb3LiPu2S6.

Lattice parameters (Å, degrees): 7.0651 7.0651 7.9317 98.44 98.44 120.07
With the nearest neighbours (Å) after each atom.
Sites, in units of the cell vectors:
Pu1 0.6671 0.3329 0.0000  6 S 2.70
Rb1 0.5000 0.5000 0.5000  6 S 3.28-3.38
S1 0.4143 0.0627 0.1891  2 Pu 2.70, 1 Li 2.87
Rb2 0.1589 0.8411 0.5000  6 S 3.30-3.38
S2 0.5857 0.9373 0.8109  2 Pu 2.70, 1 Li 2.87
Li1 0.0000 0.0000 0.0000  6 S 2.83-2.87
S3 0.2869 0.2869 0.8155  2 Pu 2.70, 1 Li 2.83
S4 0.0627 0.4143 0.1891  2 Pu 2.70, 1 Li 2.87
Rb3 0.8411 0.1589 0.5000  6 S 3.30-3.38
Pu2 0.3329 0.6671 0.0000  6 S 2.70
S5 0.9373 0.5857 0.8109  2 Pu 2.70, 1 Li 2.87
S6 0.7131 0.7131 0.1845  2 Pu 2.70, 1 Li 2.83

Properties
Calculated volume: 328 Å³/cell
Crystal system: monoclinic
Magnetization: 8.00 μB/f.u.
Density: 4.785 Mg/m³
E_tot: -6.2325 eV/atom
DOS at the Fermi energy: 1.09 states/eV per atom
Formation energy (no corrections): -1.38 eV/atom
Space-group type: C2/m (12)

***

A plane-wave DFT calculation with GGA-PBE was carried out for an optimized crystal structure of RbLiPuS3.

Lattice parameters (Å, degrees): 4.1013 8.9455 9.3201 108.64 90.00 90.00
With the nearest neighbours (Å) after each atom.
Sites, in units of the cell vectors:
S1 0.7500 0.2008 0.5517  3 Li 2.41-2.45, 1 Pu 2.62
S2 0.2500 0.5263 0.8500  3 Pu 2.71-2.74
Pu1 0.7500 0.3231 0.8474  6 S 2.62-2.74
Rb1 0.7500 0.7880 0.7432  7 S 3.46-3.60, 1 Li 3.70
S3 0.7500 0.8639 0.1330  1 Li 2.42, 2 Pu 2.69
Rb2 0.2500 0.2120 0.2568  7 S 3.46-3.60, 1 Li 3.70
Pu2 0.2500 0.6769 0.1526  6 S 2.62-2.74
S4 0.2500 0.1361 0.8670  1 Li 2.42, 2 Pu 2.69
S5 0.2500 0.7992 0.4483  3 Li 2.41-2.45, 1 Pu 2.62
Li1 0.2500 0.0801 0.5950  4 S 2.41-2.45
S6 0.7500 0.4737 0.1500  3 Pu 2.71-2.74
Li2 0.7500 0.9199 0.4050  4 S 2.41-2.45

Properties
Calculated volume: 324 Å³/cell
Crystal system: monoclinic
Magnetization: 4.00 μB/f.u.
Density: 4.434 Mg/m³
E_tot: -6.3438 eV/atom
DOS at the Fermi energy: 1.52 states/eV per atom
Formation energy (no corrections): -1.41 eV/atom
Space-group type: P2_1/m (11)

***

A plane-wave DFT calculation with GGA-PBE was carried out for an optimized crystal structure of Rb4LiPu3S8.

Lattice parameters (Å, degrees): 8.1976 8.9408 8.1998 117.30 119.99 90.00
With the nearest neighbours (Å) after each atom.
Sites, in units of the cell vectors:
Pu1 0.5000 0.5000 0.5000  6 S 2.71-2.77
S1 0.2346 0.6850 0.9503  2 Pu 2.71, 1 Li 2.83
S2 0.7654 0.3150 0.0497  2 Pu 2.71, 1 Li 2.83
Pu2 0.5000 0.5000 0.0000  6 S 2.71-2.78
S3 0.2350 0.6854 0.4701  2 Pu 2.71, 1 Li 2.83
S4 0.7650 0.3146 0.5299  2 Pu 2.71, 1 Li 2.83
Rb1 0.0000 0.0000 0.0000  6 S 3.33-3.40
S5 0.7156 0.6850 0.9503  2 Pu 2.71, 1 Li 2.83
Pu3 0.0000 0.5000 0.5000  6 S 2.71-2.77
Rb2 0.5000 0.0000 0.0000  6 S 3.30
Rb3 0.5000 0.0000 0.5000  6 S 3.33-3.40
S6 0.2696 0.3090 0.5393  3 Pu 2.77-2.78
Rb4 0.0000 0.0000 0.5000  6 S 3.33-3.40
S7 0.7304 0.6910 0.4607  3 Pu 2.77-2.78
Li1 0.0000 0.5000 0.0000  6 S 2.83
S8 0.2844 0.3150 0.0497  2 Pu 2.71, 1 Li 2.83

Properties
Calculated volume: 442 Å³/cell
Crystal system: trigonal
Magnetization: 13.00 μB/f.u.
Density: 5.029 Mg/m³
E_tot: -6.5376 eV/atom
DOS at the Fermi energy: 1.43 states/eV per atom
Formation energy (no corrections): -1.43 eV/atom
Space-group type: R-3m (166)

***

A plane-wave DFT calculation with GGA-PBE was carried out for an optimized crystal structure of Rb2LiPu2S6.

Lattice parameters (Å, degrees): 6.8983 6.8983 8.0531 97.47 97.47 120.54
With the nearest neighbours (Å) after each atom.
Sites, in units of the cell vectors:
S1 0.4081 0.0539 0.6823  2 Pu 2.64, 1 Li 2.82
Rb1 0.8410 0.1590 0.0000  6 S 3.35-3.40
S2 0.0539 0.4081 0.6823  2 Pu 2.64, 1 Li 2.82
S3 0.5919 0.9461 0.3177  2 Pu 2.64, 1 Li 2.82
S4 0.2914 0.2914 0.3193  2 Pu 2.65, 1 Li 2.76
Pu1 0.3345 0.6656 0.5000  6 S 2.64-2.65
Pu2 0.6656 0.3345 0.5000  6 S 2.64-2.65
S5 0.9461 0.5919 0.3177  2 Pu 2.64, 1 Li 2.82
S6 0.7086 0.7086 0.6807  2 Pu 2.65, 1 Li 2.76
Rb2 0.1590 0.8410 0.0000  6 S 3.35-3.40
Li1 0.0000 0.0000 0.5000  6 S 2.76-2.82

Properties
Calculated volume: 318 Å³/cell
Crystal system: monoclinic
Magnetization: 7.00 μB/f.u.
Density: 4.475 Mg/m³
E_tot: -6.5295 eV/atom
DOS at the Fermi energy: 1.14 states/eV per atom
Formation energy (no corrections): -1.32 eV/atom
Space-group type: C2/m (12)

***

A plane-wave DFT calculation with GGA-PBE was carried out for an optimized crystal structure of Rb3LiPu3S8.

Lattice parameters (Å, degrees): 8.0393 8.0415 8.9754 116.63 90.00 119.99
With the nearest neighbours (Å) after each atom.
Sites, in units of the cell vectors:
Rb1 0.5000 0.5000 0.0000  6 S 3.32-3.41
S1 0.2341 0.4681 0.6811  2 Pu 2.67, 1 Li 2.79
Pu1 0.5000 0.5000 0.5000  6 S 2.67-2.74
S2 0.2697 0.5395 0.3093  3 Pu 2.74
Rb2 0.0000 0.5000 0.0000  6 S 3.32-3.41
S3 0.7133 0.9471 0.6809  2 Pu 2.67, 1 Li 2.79
Rb3 0.0000 0.0000 0.0000  6 S 3.32-3.41
S4 0.2338 0.9472 0.6809  2 Pu 2.67, 1 Li 2.79
Li1 0.0000 0.0000 0.5000  6 S 2.79
Pu2 0.0000 0.5000 0.5000  6 S 2.67-2.74
Pu3 0.5000 0.0000 0.5000  6 S 2.67-2.74
S5 0.7659 0.5319 0.3189  2 Pu 2.67, 1 Li 2.79
S6 0.2867 0.0529 0.3191  2 Pu 2.67, 1 Li 2.79
S7 0.7303 0.4605 0.6907  3 Pu 2.74
S8 0.7662 0.0528 0.3191  2 Pu 2.67, 1 Li 2.79

Properties
Calculated volume: 430 Å³/cell
Crystal system: trigonal
Magnetization: 12.00 μB/f.u.
Density: 4.834 Mg/m³
E_tot: -6.7752 eV/atom
DOS at the Fermi energy: 1.57 states/eV per atom
Formation energy (no corrections): -1.39 eV/atom
Space-group type: R-3m (166)